[1]
Compound: LaTaGeS2
Source: Alexandria via LeMat-Bulk
Functional: SCAN
Structure: PBEsol geometry

Values from the calculation:
Total magnetization = 2.506 μB per formula unit
Formation energy (no corrections) = 4.51 eV/f.u.
E = -1.0549 hartree per atom

Unit cell a=4.7260 b=4.7260 c=5.3944 alpha=90.00 beta=90.00 gamma=90.00
With the nearest neighbours (Å) after each atom.
Space group P4/mmm (No. 123)
Asymmetric unit:
La: 0.0000 0.0000 0.0000  2 Ge 2.70
Ta: 0.5000 0.5000 0.0000  4 La 3.34, 8 S 3.59
Ge: 0.0000 0.0000 0.5000  4 S 2.36
S: 0.0000 0.5000 0.5000  2 Ge 2.36



[2]
Compound: LaGe2Sb2
Source: Alexandria via LeMat-Bulk
Functional: SCAN
Structure: PBEsol geometry

Values from the calculation:
Total magnetization = 0.000 μB per formula unit
Formation energy (no corrections) = -1.07 eV/f.u.
E = -1.1530 hartree per atom

Unit cell a=4.3413 b=4.3413 c=13.6532 alpha=90.00 beta=90.00 gamma=90.00
With the nearest neighbours (Å) after each atom.
Space group I4/mmm (No. 139)
Asymmetric unit:
La: 0.0000 0.0000 0.0000  8 Ge 3.29
Ge: 0.0000 0.0000 0.4126  1 Ge 2.39
Sb: 0.0000 0.5000 0.2500  4 Sb 3.07, 4 Ge 3.10



[3]
Compound: LaTl2GeSb
Source: Alexandria via LeMat-Bulk
Functional: SCAN
Structure: PBEsol geometry

Values from the calculation:
Total magnetization = 0.272 μB per formula unit
Formation energy (no corrections) = 4.00 eV/f.u.
E = -1.7652 hartree per atom

Unit cell a=5.9318 b=5.9318 c=5.8984 alpha=90.00 beta=90.00 gamma=90.00
With the nearest neighbours (Å) after each atom.
Space group P4/mmm (No. 123)
Asymmetric unit:
La: 0.0000 0.0000 0.0000  2 Sb 2.95, 4 Tl 2.97
Tl: 0.0000 0.5000 0.0000  2 La 2.97
Ge: 0.5000 0.5000 0.5000  8 Tl 4.18, 4 Sb 4.19
Sb: 0.0000 0.0000 0.5000  2 La 2.95



[4]
Compound: LaScGe3
Source: Alexandria via LeMat-Bulk
Functional: SCAN
Structure: PBEsol geometry

Values from the calculation:
DFT formation energy = 17.9 kcal/mol of atoms
Total magnetization = 0.000 μB per formula unit
E = -0.8137 hartree per atom

Unit cell a=5.3476 b=5.3476 c=5.3476 alpha=90.00 beta=90.00 gamma=90.00
With the nearest neighbours (Å) after each atom.
Space group Pm-3m (No. 221)
Asymmetric unit:
La: 0.0000 0.0000 0.0000  6 Ge 2.67
Sc: 0.5000 0.5000 0.5000  12 Ge 3.78
Ge: 0.0000 0.0000 0.5000  2 La 2.67



[5]
Compound: La2ScGe2
Source: Alexandria via LeMat-Bulk
Functional: SCAN
Structure: PBEsol geometry

Values from the calculation:
DFT formation energy = -20.0 kcal/mol of atoms
Total magnetization = 0.000 μB per formula unit
E = -1.0508 hartree per atom

Unit cell a=7.4648 b=7.4648 c=4.5099 alpha=90.00 beta=90.00 gamma=90.00
With the nearest neighbours (Å) after each atom.
Space group P4/mbm (No. 127)
Asymmetric unit:
La: 0.1756 0.3244 0.0000  6 Ge 3.09-3.20
Sc: 0.0000 0.0000 0.5000  4 Ge 2.95
Ge: 0.1247 0.6247 0.5000  1 Ge 2.63



[6]
Compound: LaTlGeSe4
Source: Alexandria via LeMat-Bulk
Functional: SCAN
Structure: PBEsol geometry

Values from the calculation:
Total magnetization = 0.000 μB per formula unit
Formation energy (no corrections) = -7.68 eV/f.u.
E = -1.1684 hartree per atom

Unit cell a=7.0539 b=19.1843 c=11.3095 alpha=90.00 beta=90.00 gamma=90.00
With the nearest neighbours (Å) after each atom.
Space group Pbca (No. 61)
Asymmetric unit:
La: 0.2272 0.0655 0.1057  8 Se 3.07-3.27
Tl: 0.1705 0.1984 0.7538  6 Se 3.20-3.44, 2 Tl 3.53
Ge: 0.2158 0.1131 0.4453  4 Se 2.35-2.40
Se: 0.0379 0.6846 0.9964  1 Ge 2.35
Se: 0.0692 0.5836 0.5983  1 Ge 2.37
Se: 0.0910 0.6599 0.2941  1 Ge 2.36
Se: 0.1244 0.0042 0.3584  1 Ge 2.40



[7]
Compound: La2SiGe2
Source: Alexandria via LeMat-Bulk
Functional: SCAN
Structure: PBEsol geometry

Values from the calculation:
Total magnetization = 0.000 μB per formula unit
Formation energy (no corrections) = -2.48 eV/f.u.
E = -1.0061 hartree per atom

Unit cell a=3.7208 b=3.7208 c=17.6634 alpha=90.00 beta=90.00 gamma=90.00
With the nearest neighbours (Å) after each atom.
Space group I4/mmm (No. 139)
Asymmetric unit:
La: 0.0000 0.0000 0.1027  4 Si 3.20, 4 Ge 3.20
Si: 0.0000 0.0000 0.5000  8 La 3.20
Ge: 0.0000 0.5000 0.2500  4 Ge 2.63



[8]
Compound: SrLa2Ge2
Source: Alexandria via LeMat-Bulk
Functional: SCAN
Structure: PBEsol geometry

Values from the calculation:
DFT formation energy = -12.2 kcal/mol of atoms
Total magnetization = 0.000 μB per formula unit
ΔE to the lowest computed polymorph = 19.4 kJ/mol of atoms
E = -1.0973 hartree per atom

Unit cell a=4.6565 b=4.6565 c=13.2841 alpha=90.00 beta=90.00 gamma=90.00
With the nearest neighbours (Å) after each atom.
Space group I4/mmm (No. 139)
Asymmetric unit:
Sr: 0.0000 0.0000 0.0000  8 Ge 3.52
La: 0.0000 0.5000 0.2500  4 Ge 3.12, 4 La 3.29
Ge: 0.0000 0.0000 0.4062  1 Ge 2.49



[9]
Compound: SrLa2Ge2
Source: Alexandria via LeMat-Bulk
Functional: SCAN
Structure: PBEsol geometry

Values from the calculation:
DFT formation energy = -16.8 kcal/mol of atoms
Total magnetization = 0.000 μB per formula unit
ΔE to the lowest computed polymorph = 0.0 kJ/mol of atoms
E = -1.1047 hartree per atom

Unit cell a=8.4941 b=8.4941 c=3.9513 alpha=90.00 beta=90.00 gamma=90.00
With the nearest neighbours (Å) after each atom.
Space group P4/mbm (No. 127)
Asymmetric unit:
Sr: 0.0000 0.0000 0.0000  4 Ge 3.16
La: 0.1316 0.3684 0.5000  6 Ge 3.13-3.23, 1 La 3.16
Ge: 0.1668 0.6668 0.0000  6 La 3.13-3.23, 2 Sr 3.16



[10]
Compound: LaTa2Ge2
Source: Alexandria via LeMat-Bulk
Functional: SCAN
Structure: PBEsol geometry

Values from the calculation:
DFT formation energy = -13.7 kcal/mol of atoms
Total magnetization = 0.000 μB per formula unit
E = -1.5980 hartree per atom

Unit cell a=4.0700 b=4.0700 c=12.1411 alpha=90.00 beta=90.00 gamma=90.00
With the nearest neighbours (Å) after each atom.
Space group I4/mmm (No. 139)
Asymmetric unit:
La: 0.0000 0.0000 0.0000  8 Ge 3.16
Ta: 0.0000 0.5000 0.2500  4 Ge 2.68, 4 Ta 2.88
Ge: 0.0000 0.0000 0.3933  1 Ge 2.59, 4 Ta 2.68



[11]
Compound: LaTc2Ge2
Source: Alexandria via LeMat-Bulk
Functional: SCAN
Structure: PBEsol geometry

Values from the calculation:
DFT formation energy = -11.5 kcal/mol of atoms
Total magnetization = 0.002 μB per formula unit
E = -1.1311 hartree per atom

Unit cell a=4.1463 b=4.1463 c=10.7864 alpha=90.00 beta=90.00 gamma=90.00
With the nearest neighbours (Å) after each atom.
Space group I4/mmm (No. 139)
Asymmetric unit:
La: 0.0000 0.0000 0.0000  8 Ge 3.22, 8 Tc 3.40
Tc: 0.0000 0.5000 0.2500  4 Ge 2.48
Ge: 0.0000 0.0000 0.3766  4 Tc 2.48, 1 Ge 2.66



[12]
Compound: LaGe2Te2
Source: Alexandria via LeMat-Bulk
Functional: SCAN
Structure: PBEsol geometry

Values from the calculation:
Total magnetization = 0.000 μB per formula unit
Formation energy (no corrections) = -2.63 eV/f.u.
E = -1.1643 hartree per atom

Unit cell a=3.9288 b=3.9288 c=17.3920 alpha=90.00 beta=90.00 gamma=90.00
With the nearest neighbours (Å) after each atom.
Space group I4/mmm (No. 139)
Asymmetric unit:
La: 0.0000 0.0000 0.0000  8 Te 3.28
Ge: 0.0000 0.5000 0.2500  4 Ge 2.78
Te: 0.0000 0.0000 0.3993  4 Ge 3.26, 4 La 3.28, 1 Te 3.50



[13]
Compound: LaTiGe3
Source: Alexandria via LeMat-Bulk
Functional: SCAN
Structure: PBEsol geometry

Values from the calculation:
DFT formation energy = -10.5 kcal/mol of atoms
Total magnetization = 0.000 μB per formula unit
ΔE to the lowest computed polymorph = 33.3 kJ/mol of atoms
E = -0.8722 hartree per atom

Unit cell a=4.8053 b=4.8053 c=4.8053 alpha=90.00 beta=90.00 gamma=90.00
With the nearest neighbours (Å) after each atom.
Space group Pm-3m (No. 221)
Asymmetric unit:
La: 0.0000 0.0000 0.0000  12 Ge 3.40
Ti: 0.5000 0.5000 0.5000  6 Ge 2.40
Ge: 0.0000 0.5000 0.5000  2 Ti 2.40



[14]
Compound: LaTiGe3
Source: Alexandria via LeMat-Bulk
Functional: SCAN
Structure: PBEsol geometry

Values from the calculation:
DFT formation energy = -18.4 kcal/mol of atoms
Total magnetization = 0.000 μB per formula unit
ΔE to the lowest computed polymorph = 0.0 kJ/mol of atoms
E = -0.8849 hartree per atom

Unit cell a=6.2557 b=6.2557 c=5.8256 alpha=90.00 beta=90.00 gamma=120.00
With the nearest neighbours (Å) after each atom.
Space group P6_3/mmc (No. 194)
Asymmetric unit:
La: 0.3333 0.6667 0.2500  12 Ge 3.14-3.27
Ti: 0.0000 0.0000 0.0000  6 Ge 2.58
Ge: 0.1969 0.3939 0.7500  2 Ge 2.56, 2 Ti 2.58



[15]
Compound: LaTiGe
Source: Alexandria via LeMat-Bulk
Functional: SCAN
Structure: PBEsol geometry

Values from the calculation:
DFT formation energy = -16.2 kcal/mol of atoms
Total magnetization = 0.442 μB per formula unit
E = -0.9840 hartree per atom

Unit cell a=4.1196 b=4.1196 c=7.8687 alpha=90.00 beta=90.00 gamma=90.00
With the nearest neighbours (Å) after each atom.
Space group P4/nmm (No. 129, origin choice 2)
Asymmetric unit:
La: 0.2500 0.2500 0.1481  5 Ge 3.10-3.39, 4 Ti 3.45
Ti: 0.2500 0.7500 0.5000  4 Ge 2.68, 4 Ti 2.91
Ge: 0.2500 0.2500 0.7176  4 Ti 2.68



[16]
Compound: LaTiGe3
Source: Alexandria via LeMat-Bulk
Functional: SCAN
Structure: PBEsol geometry

Values from the calculation:
DFT formation energy = 26.1 kcal/mol of atoms
Total magnetization = 2.009 μB per formula unit
ΔE to the lowest computed polymorph = 186.6 kJ/mol of atoms
E = -0.8138 hartree per atom

Unit cell a=5.3672 b=5.3672 c=5.3672 alpha=90.00 beta=90.00 gamma=90.00
With the nearest neighbours (Å) after each atom.
Space group Pm-3m (No. 221)
Asymmetric unit:
La: 0.0000 0.0000 0.0000  6 Ge 2.68
Ti: 0.5000 0.5000 0.5000  12 Ge 3.80
Ge: 0.0000 0.0000 0.5000  2 La 2.68



[17]
Compound: LaVGe3
Source: Alexandria via LeMat-Bulk
Functional: SCAN
Structure: PBEsol geometry

Values from the calculation:
DFT formation energy = -14.9 kcal/mol of atoms
Total magnetization = 0.000 μB per formula unit
E = -0.8900 hartree per atom

Unit cell a=6.2203 b=6.2203 c=5.5697 alpha=90.00 beta=90.00 gamma=120.00
With the nearest neighbours (Å) after each atom.
Space group P6_3/mmc (No. 194)
Asymmetric unit:
La: 0.3333 0.6667 0.2500  12 Ge 3.12-3.17
V: 0.0000 0.0000 0.0000  6 Ge 2.51, 2 V 2.78
Ge: 0.1937 0.3873 0.7500  2 V 2.51, 2 Ge 2.61



[18]
Compound: La2YGe2
Source: Alexandria via LeMat-Bulk
Functional: SCAN
Structure: PBEsol geometry

Values from the calculation:
DFT formation energy = -20.1 kcal/mol of atoms
Total magnetization = 0.896 μB per formula unit
E = -1.1509 hartree per atom

Unit cell a=7.9931 b=7.9931 c=4.1664 alpha=90.00 beta=90.00 gamma=90.00
With the nearest neighbours (Å) after each atom.
Space group P4/mbm (No. 127)
Asymmetric unit:
La: 0.1397 0.3603 0.0000  6 Ge 3.05-3.20, 1 La 3.16
Y: 0.0000 0.0000 0.5000  4 Ge 2.99
Ge: 0.1633 0.6633 0.5000  2 Y 2.99, 6 La 3.05-3.20



[19]
Compound: LaYGe3
Source: Alexandria via LeMat-Bulk
Functional: SCAN
Structure: PBEsol geometry

Values from the calculation:
DFT formation energy = 10.9 kcal/mol of atoms
Total magnetization = 0.000 μB per formula unit
E = -0.9250 hartree per atom

Unit cell a=5.3334 b=5.3334 c=5.3334 alpha=90.00 beta=90.00 gamma=90.00
With the nearest neighbours (Å) after each atom.
Space group Pm-3m (No. 221)
Asymmetric unit:
La: 0.0000 0.0000 0.0000  6 Ge 2.67
Y: 0.5000 0.5000 0.5000  12 Ge 3.77
Ge: 0.0000 0.0000 0.5000  2 La 2.67



[20]
Compound: La2Zn6Ge3
Source: Alexandria via LeMat-Bulk
Functional: SCAN
Structure: PBEsol geometry

Values from the calculation:
DFT formation energy = -12.1 kcal/mol of atoms
Total magnetization = 0.000 μB per formula unit
E = -0.7695 hartree per atom

Unit cell a=7.5950 b=7.5950 c=4.0864 alpha=90.00 beta=90.00 gamma=120.00
With the nearest neighbours (Å) after each atom.
Space group P-62m (No. 189)
Asymmetric unit:
La: 0.3333 0.6667 0.0000  6 Ge 3.13, 9 Zn 3.23-3.41
Zn: 0.0000 0.1886 0.0000  2 Zn 2.48, 2 Ge 2.51
Zn: 0.0000 0.7132 0.5000  3 Ge 2.53-2.61, 4 Zn 2.80
Ge: 0.0000 0.3800 0.5000  5 Zn 2.51-2.61